Entry 1:
A relaxed structure of Ba2BiI. Source: Alexandria via LeMat-Bulk, functional PBEsol.

Summary:
* ΔE_f (raw): -1248 meV/atom
* symmetry: Fm-3m, No. 225
* total magnetic moment: 0.0 μB/f.u.

```
4
Lattice="0.0000 4.2595 4.2595 4.2595 0.0000 4.2595 4.2595 4.2595 0.0000" Properties=species:S:1:pos:R:3 pbc="T T T"
Ba 2.1298 2.1298 2.1298
Ba 6.3893 6.3893 6.3893
Bi 0.0000 0.0000 0.0000
I 4.2595 4.2595 4.2595
```

=====

Entry 2:
A relaxed structure of BaBiIN2. Source: Alexandria via LeMat-Bulk, functional PBEsol.

Summary:
* ΔE_f (raw): 572 meV/atom
* symmetry: P4/mmm, No. 123
* N(E_F): 2.180 states/eV/f.u.
* total magnetic moment: 1.1 μB/f.u.

```
5
Lattice="4.6350 0.0000 0.0000 0.0000 4.6350 0.0000 0.0000 0.0000 6.0278" Properties=species:S:1:pos:R:3 pbc="T T T"
Ba 0.0000 0.0000 0.0000
Bi 2.3175 2.3175 3.0139
I 2.3175 2.3175 0.0000
N 0.0000 2.3175 3.0139
N 2.3175 0.0000 3.0139
```

=====

Entry 3:
A relaxed structure of BaBiOs2I. Source: Alexandria via LeMat-Bulk, functional PBEsol.

Summary:
* ΔE_f (raw): 1397 meV/atom
* symmetry: P4/mmm, No. 123
* N(E_F): 5.297 states/eV/f.u.
* total magnetic moment: 2.0 μB/f.u.

```
5
Lattice="5.0256 0.0000 0.0000 0.0000 5.0256 0.0000 0.0000 0.0000 6.3173" Properties=species:S:1:pos:R:3 pbc="T T T"
Ba 0.0000 0.0000 0.0000
Bi 2.5128 2.5128 3.1586
Os 0.0000 2.5128 3.1586
Os 2.5128 0.0000 3.1586
I 2.5128 2.5128 0.0000
```

=====

Entry 4:
A relaxed structure of BaBiSI2. Source: Alexandria via LeMat-Bulk, functional PBEsol.

Summary:
* ΔE_f (raw): 360 meV/atom
* symmetry: P4/mmm, No. 123
* N(E_F): 13.071 states/eV/f.u.
* total magnetic moment: 3.4 μB/f.u.

```
5
Lattice="6.4668 0.0000 0.0000 0.0000 6.4668 0.0000 0.0000 0.0000 6.9741" Properties=species:S:1:pos:R:3 pbc="T T T"
Ba 0.0000 0.0000 0.0000
Bi 0.0000 0.0000 3.4870
S 3.2334 3.2334 3.4870
I 0.0000 3.2334 0.0000
I 3.2334 0.0000 0.0000
```

=====

Entry 5:
A relaxed structure of BaIn2Bi2. Source: Alexandria via LeMat-Bulk, functional PBEsol.

Summary:
* energy relative to the elements: -1.7 eV/f.u.
* symmetry: I4/mmm, No. 139
* N(E_F): 2.212 states/eV/f.u.
* total magnetic moment: 0.0 μB/f.u.

```
5
Lattice="-2.4231 2.4231 7.4114 2.4231 -2.4231 7.4114 2.4231 2.4231 -7.4114" Properties=species:S:1:pos:R:3 pbc="T T T"
Ba 0.0000 0.0000 0.0000
In 2.4231 0.0000 3.7057
In 0.0000 2.4231 3.7057
Bi 0.0000 0.0000 5.8383
Bi 0.0000 0.0000 8.9846
```

=====

Entry 6:
A relaxed structure of BaIn2Bi2. Source: Alexandria via LeMat-Bulk, functional PBEsol.

Summary:
* energy relative to the elements: -1.7 eV/f.u.
* symmetry: P4/mbm, No. 127
* N(E_F): 3.175 states/eV/f.u.
* total magnetic moment: 0.0 μB/f.u.

```
10
Lattice="8.7191 0.0000 0.0000 0.0000 8.7191 0.0000 0.0000 0.0000 4.1067" Properties=species:S:1:pos:R:3 pbc="T T T"
Ba 0.0000 0.0000 0.0000
Ba 4.3596 4.3596 0.0000
In 1.0624 3.2972 0.0000
In 3.2972 7.6567 0.0000
In 5.4220 1.0624 0.0000
In 7.6567 5.4220 0.0000
Bi 1.4621 5.8217 2.0533
Bi 2.8974 1.4621 2.0533
Bi 5.8217 7.2570 2.0533
Bi 7.2570 2.8974 2.0533
```

=====

Entry 7:
A relaxed structure of Ba5In4Bi5. Source: Alexandria via LeMat-Bulk, functional PBEsol.

Summary:
* energy relative to the elements: -9.5 eV/f.u.
* symmetry: P4nc, No. 104
* N(E_F): 8.719 states/eV/f.u.
* total magnetic moment: 0.0 μB/f.u.

```
28
Lattice="10.5985 0.0000 0.0000 0.0000 10.5985 0.0000 0.0000 0.0000 8.8915" Properties=species:S:1:pos:R:3 pbc="T T T"
Ba 0.0000 0.0000 0.0000
Ba 1.1258 3.2890 6.0091
Ba 2.0103 4.1734 1.5634
Ba 3.2890 9.4727 6.0091
Ba 4.1734 8.5882 1.5634
Ba 5.2992 5.2992 4.4458
Ba 6.4251 2.0103 1.5634
Ba 7.3095 1.1258 6.0091
Ba 8.5882 6.4251 1.5634
Ba 9.4727 7.3095 6.0091
In 0.7614 8.6452 2.9445
In 1.9533 0.7614 2.9445
In 3.3460 6.0606 7.3902
In 4.5378 3.3460 7.3902
In 6.0606 7.2525 7.3902
In 7.2525 4.5378 7.3902
In 8.6452 9.8371 2.9445
In 9.8371 1.9533 2.9445
Bi 0.0000 0.0000 5.4634
Bi 1.1580 7.3175 8.8498
Bi 2.0182 6.4573 4.4040
Bi 3.2810 1.1580 8.8498
Bi 4.1412 2.0182 4.4040
Bi 5.2992 5.2992 1.0176
Bi 6.4573 8.5803 4.4040
Bi 7.3175 9.4405 8.8498
Bi 8.5803 4.1412 4.4040
Bi 9.4405 3.2810 8.8498
```

=====

Entry 8:
A relaxed structure of BaIn2NiBi. Source: Alexandria via LeMat-Bulk, functional PBEsol.

Summary:
* energy relative to the elements: -1.4 eV/f.u.
* symmetry: P4/mmm, No. 123
* N(E_F): 3.088 states/eV/f.u.
* total magnetic moment: 0.0 μB/f.u.

```
5
Lattice="4.9734 0.0000 0.0000 0.0000 4.9734 0.0000 0.0000 0.0000 5.5065" Properties=species:S:1:pos:R:3 pbc="T T T"
Ba 0.0000 0.0000 0.0000
In 0.0000 2.4867 2.7533
In 2.4867 0.0000 2.7533
Ni 2.4867 2.4867 2.7533
Bi 2.4867 2.4867 0.0000
```

=====

Entry 9:
A relaxed structure of Ba3BiIr. Source: Alexandria via LeMat-Bulk, functional PBEsol.

Summary:
* energy relative to the elements: -1.9 eV/f.u.
* symmetry: Pm-3m, No. 221
* N(E_F): 1.323 states/eV/f.u.
* total magnetic moment: 0.0 μB/f.u.

```
5
Lattice="5.8591 0.0000 0.0000 0.0000 5.8591 0.0000 0.0000 0.0000 5.8591" Properties=species:S:1:pos:R:3 pbc="T T T"
Ba 0.0000 0.0000 2.9295
Ba 0.0000 2.9295 0.0000
Ba 2.9295 0.0000 0.0000
Bi 2.9295 2.9295 2.9295
Ir 0.0000 0.0000 0.0000
```

=====

Entry 10:
A relaxed structure of Ba3BiIrRuO9. Source: Alexandria via LeMat-Bulk, functional PBEsol.

Summary:
* ΔE_f (raw): -1779 meV/atom
* symmetry: Cc, No. 9
* N(E_F): 5.533 states/eV/f.u.
* total magnetic moment: 1.6 μB/f.u.

```
30
Lattice="2.9695 -5.1044 0.0000 2.9695 5.1044 0.0000 -0.5906 0.0000 14.7549" Properties=species:S:1:pos:R:3 pbc="T T T"
Ba 2.6742 5.0274 7.3775
Ba 2.8321 1.7045 2.3187
Ba 2.5259 1.6904 12.4820
Ba 2.5368 -1.7045 9.6962
Ba 2.8212 -1.6904 5.1046
Ba 2.9695 -5.0274 0.0000
Bi -0.1423 0.0027 3.7006
Bi -0.4376 -0.0027 11.0780
Ir 2.8236 1.6779 6.1473
Ir 2.5283 -1.6779 13.5248
Ru 2.5228 1.6823 8.6325
Ru 2.8181 -1.6823 1.2550
O 1.2865 2.4255 7.2215
O 2.3373 3.3281 9.6376
O 0.9811 0.9395 9.5409
O 3.0081 3.3279 5.0653
O 1.6479 0.9544 4.7306
O 1.2764 -0.9395 2.1634
O 1.3526 -0.9544 12.1080
O 2.6648 0.0740 7.4039
O 4.0527 2.4298 7.5789
O 0.9912 -2.4255 14.5990
O 2.9601 -0.0740 0.0264
O 3.6828 0.9512 9.9846
O 4.3869 0.9349 5.1854
O 3.9781 -0.9512 2.6072
O 2.6326 -3.3281 2.2601
O 4.0916 -0.9349 12.5629
O 2.7128 -3.3279 12.4427
O 4.3480 -2.4298 0.2014
```

=====

Entry 11:
A relaxed structure of KBaBi2. Source: Alexandria via LeMat-Bulk, functional PBEsol.

Summary:
* energy relative to the elements: -1.8 eV/f.u.
* symmetry: Fm-3m, No. 225
* N(E_F): 2.889 states/eV/f.u.
* total magnetic moment: 0.0 μB/f.u.

```
4
Lattice="0.0000 4.1905 4.1905 4.1905 0.0000 4.1905 4.1905 4.1905 0.0000" Properties=species:S:1:pos:R:3 pbc="T T T"
K 0.0000 0.0000 0.0000
Ba 4.1905 4.1905 4.1905
Bi 2.0952 2.0952 2.0952
Bi 6.2857 6.2857 6.2857
```

=====

Entry 12:
A relaxed structure of K2BaBi2. Source: Alexandria via LeMat-Bulk, functional PBEsol.

Summary:
* energy relative to the elements: -2.3 eV/f.u.
* symmetry: I4/mmm, No. 139
* N(E_F): 2.270 states/eV/f.u.
* total magnetic moment: 0.0 μB/f.u.

```
5
Lattice="-2.5448 2.5448 7.8558 2.5448 -2.5448 7.8558 2.5448 2.5448 -7.8558" Properties=species:S:1:pos:R:3 pbc="T T T"
K 2.5448 0.0000 3.9279
K 0.0000 2.5448 3.9279
Ba 0.0000 0.0000 0.0000
Bi 0.0000 0.0000 6.3635
Bi 0.0000 0.0000 9.3481
```

=====

no.,E_tot (eV per atom)
1,-3.8356
2,-4.4792
3,-5.1295
4,-2.5101
5,-3.6708
6,-3.6710
7,-3.8304
8,-3.9996
9,-4.4941
10,-6.9771
11,-3.4213
12,-3.0515